[1]
TbGdCdNi | PBE | relaxed

Output
Electronic total energy in eV per formula unit: -26.39
Total moment in μB/f.u.: 7.11
E_form in eV per atom: -0.247
Space group: F-43m (216)

a = 5.092 Å, b = 5.092 Å, c = 5.092 Å
α = 60.00°, β = 60.00°, γ = 60.00°
Element x y z (fractional)
1 Tb 0.000 0.000 0.000
2 Gd 0.500 0.500 0.500
3 Cd 0.750 0.750 0.750
4 Ni 0.250 0.250 0.250



[2]
GdTmCdNi | PBE | relaxed

Output
Electronic total energy in eV per formula unit: -26.29
Total moment in μB/f.u.: 7.14
E_form in eV per atom: -0.259
Space group: F-43m (216)

a = 5.048 Å, b = 5.048 Å, c = 5.048 Å
α = 60.00°, β = 60.00°, γ = 60.00°
Element x y z (fractional)
1 Gd 0.000 0.000 0.000
2 Tm 0.500 0.500 0.500
3 Cd 0.750 0.750 0.750
4 Ni 0.250 0.250 0.250



[3]
GdZnCdNi | PBE | relaxed

Output
Electronic total energy in eV per formula unit: -22.93
Total moment in μB/f.u.: 7.36
E_form in eV per atom: -0.220
Space group: F-43m (216)

a = 4.750 Å, b = 4.750 Å, c = 4.750 Å
α = 60.00°, β = 60.00°, γ = 60.00°
Element x y z (fractional)
1 Gd 0.000 0.000 0.000
2 Zn 0.250 0.250 0.250
3 Cd 0.500 0.500 0.500
4 Ni 0.750 0.750 0.750



[4]
GdNpCd4 | PBE | relaxed

Output
Electronic total energy in eV per formula unit: -30.49
Total moment in μB/f.u.: 2.75
E_form in eV per atom: 0.032
Space group: F-43m (216)

a = 5.938 Å, b = 5.938 Å, c = 5.938 Å
α = 60.00°, β = 60.00°, γ = 60.00°
Element x y z (fractional)
1 Gd 0.000 0.000 0.000
2 Np 0.750 0.750 0.750
3 Cd 0.375 0.375 0.375
4 Cd 0.375 0.375 0.875
5 Cd 0.375 0.875 0.375
6 Cd 0.875 0.375 0.375



[5]
Gd2CdO | PBE | relaxed

Output
Electronic total energy in eV per formula unit: -39.76
Total moment in μB/f.u.: 14.74
Formation energy without anion corrections in meV per atom: -1431
Space group: R-3m (166)

a = 8.094 Å, b = 8.094 Å, c = 8.094 Å
α = 25.67°, β = 25.67°, γ = 25.67°
Element x y z (fractional)
1 Gd 0.224 0.224 0.224
2 Gd 0.776 0.776 0.776
3 Cd 0.000 0.000 0.000
4 O 0.500 0.500 0.500



[6]
GdTiCdSbO7 | PBE | relaxed

Output
Electronic total energy in eV per formula unit: -87.49
Total moment in μB/f.u.: 6.95
Formation energy without anion corrections in meV per atom: -2342
Space group: Imma (74)

a = 7.319 Å, b = 7.319 Å, c = 7.319 Å
α = 120.90°, β = 118.58°, γ = 90.46°
Element x y z (fractional)
1 Gd 0.000 0.000 0.000
2 Gd 0.500 0.000 0.500
3 Ti 0.500 0.000 0.000
4 Ti 0.500 0.500 0.500
5 Cd 0.000 0.000 0.500
6 Cd 0.000 0.500 0.000
7 Sb 0.000 0.500 0.500
8 Sb 0.500 0.500 0.000
9 O 0.127 0.877 0.250
10 O 0.170 0.420 0.750
11 O 0.179 0.417 0.353
12 O 0.179 0.827 0.762
13 O 0.428 0.178 0.250
14 O 0.435 0.173 0.853
15 O 0.435 0.583 0.262
16 O 0.565 0.417 0.738
17 O 0.565 0.827 0.147
18 O 0.572 0.822 0.750
19 O 0.821 0.173 0.238
20 O 0.821 0.583 0.647
21 O 0.830 0.580 0.250
22 O 0.873 0.123 0.750



[7]
GdTiCdSbO7 | PBE | relaxed

Output
Electronic total energy in eV per formula unit: -87.50
Total moment in μB/f.u.: 6.96
Formation energy without anion corrections in meV per atom: -2343
Space group: P4_122 (91)

a = 7.324 Å, b = 7.324 Å, c = 10.390 Å
α = 90.00°, β = 90.00°, γ = 90.00°
Element x y z (fractional)
1 Gd 0.000 0.266 0.000
2 Gd 0.000 0.734 0.500
3 Gd 0.266 0.000 0.750
4 Gd 0.734 0.000 0.250
5 Ti 0.000 0.237 0.500
6 Ti 0.000 0.763 0.000
7 Ti 0.237 0.000 0.250
8 Ti 0.763 0.000 0.750
9 Cd 0.259 0.500 0.750
10 Cd 0.500 0.259 0.000
11 Cd 0.500 0.741 0.500
12 Cd 0.741 0.500 0.250
13 Sb 0.244 0.500 0.250
14 Sb 0.500 0.244 0.500
15 Sb 0.500 0.756 0.000
16 Sb 0.756 0.500 0.750
17 O 0.048 0.048 0.375
18 O 0.048 0.952 0.125
19 O 0.053 0.448 0.382
20 O 0.053 0.552 0.118
21 O 0.235 0.250 0.176
22 O 0.235 0.750 0.324
23 O 0.250 0.235 0.574
24 O 0.250 0.765 0.926
25 O 0.253 0.253 0.875
26 O 0.253 0.747 0.625
27 O 0.448 0.053 0.368
28 O 0.448 0.947 0.132
29 O 0.450 0.450 0.375
30 O 0.450 0.550 0.125
31 O 0.550 0.450 0.625
32 O 0.550 0.550 0.875
33 O 0.552 0.053 0.632
34 O 0.552 0.947 0.868
35 O 0.747 0.253 0.125
36 O 0.747 0.747 0.375
37 O 0.750 0.235 0.426
38 O 0.750 0.765 0.074
39 O 0.765 0.250 0.824
40 O 0.765 0.750 0.676
41 O 0.947 0.448 0.618
42 O 0.947 0.552 0.882
43 O 0.952 0.048 0.625
44 O 0.952 0.952 0.875



[8]
Gd2CdOs | PBE | relaxed

Output
Electronic total energy in eV per formula unit: -39.73
Total moment in μB/f.u.: 14.27
E_form in eV per atom: 0.144
Space group: R-3m (166)

a = 10.072 Å, b = 10.072 Å, c = 10.072 Å
α = 22.89°, β = 22.89°, γ = 22.89°
Element x y z (fractional)
1 Gd 0.116 0.116 0.116
2 Gd 0.884 0.884 0.884
3 Cd 0.000 0.000 0.000
4 Os 0.500 0.500 0.500



[9]
Gd2CdOs | PBE | relaxed

Output
Electronic total energy in eV per formula unit: -41.35
Total moment in μB/f.u.: 14.25
E_form in eV per atom: -0.261
Space group: P4/mmm (123)

a = 3.457 Å, b = 3.457 Å, c = 7.967 Å
α = 90.00°, β = 90.00°, γ = 90.00°
Element x y z (fractional)
1 Gd 0.000 0.000 0.212
2 Gd 0.000 0.000 0.788
3 Cd 0.500 0.500 0.500
4 Os 0.500 0.500 0.000



[10]
Gd3CdOs | PBE | relaxed

Output
Electronic total energy in eV per formula unit: -54.73
Total moment in μB/f.u.: 21.48
E_form in eV per atom: -0.068
Space group: Pm-3m (221)

a = 5.417 Å, b = 5.417 Å, c = 5.417 Å
α = 90.00°, β = 90.00°, γ = 90.00°
Element x y z (fractional)
1 Gd 0.000 0.000 0.500
2 Gd 0.000 0.500 0.000
3 Gd 0.500 0.000 0.000
4 Cd 0.500 0.500 0.500
5 Os 0.000 0.000 0.000



[11]
Gd2CdOs | PBE | relaxed

Output
Electronic total energy in eV per formula unit: -40.96
Total moment in μB/f.u.: 14.12
E_form in eV per atom: -0.164
Space group: Fm-3m (225)

a = 5.063 Å, b = 5.063 Å, c = 5.063 Å
α = 60.00°, β = 60.00°, γ = 60.00°
Element x y z (fractional)
1 Gd 0.250 0.250 0.250
2 Gd 0.750 0.750 0.750
3 Cd 0.000 0.000 0.000
4 Os 0.500 0.500 0.500



[12]
PrGdCdOs | PBE | relaxed

Output
Electronic total energy in eV per formula unit: -31.34
Total moment in μB/f.u.: 7.02
E_form in eV per atom: -0.084
Space group: F-43m (216)

a = 5.144 Å, b = 5.144 Å, c = 5.144 Å
α = 60.00°, β = 60.00°, γ = 60.00°
Element x y z (fractional)
1 Pr 0.000 0.000 0.000
2 Gd 0.500 0.500 0.500
3 Cd 0.750 0.750 0.750
4 Os 0.250 0.250 0.250